[1]
Density functional theory data (PBE) for Na2InSi2 after structural relaxation.

Results
Density of states at the Fermi level, states/eV/atom: 0.331
Formation energy without anion corrections, meV per atom: 236.9

Unit cell a=4.232 b=4.232 c=12.785 alpha=90.00 beta=90.00 gamma=90.00
Space group I4/mmm (No. 139)
Unique sites:
Na  0.000  0.500  0.250 [4 per cell]
In  0.000  0.000  0.000 [2 per cell]
Si  0.000  0.000  0.412 [4 per cell]


[2]
Density functional theory data (PBE) for NaInSi after structural relaxation.

Results
Density of states at the Fermi level, states/eV/atom: 0.467
Formation energy without anion corrections, meV per atom: 46.8

Unit cell a=3.659 b=5.456 c=7.753 alpha=76.38 beta=76.44 gamma=89.91
Space group P-1 (No. 2)
Unique sites:
Na  0.067  0.298  0.369 [2 per cell]
In  0.361  0.148  0.778 [2 per cell]
Si  0.257  0.643  0.984 [2 per cell]


[3]
Density functional theory data (PBE) for Na2InSi2 after structural relaxation.

Results
Density of states at the Fermi level, states/eV/atom: 0.420
Formation energy without anion corrections, meV per atom: 189.1

Unit cell a=8.345 b=8.345 c=3.193 alpha=90.00 beta=90.00 gamma=90.00
Space group P4/mbm (No. 127)
Unique sites:
Na  0.195  0.305  0.000 [4 per cell]
In  0.000  0.000  0.500 [2 per cell]
Si  0.099  0.599  0.500 [4 per cell]


[4]
Density functional theory data (PBE) for NaInSi after structural relaxation.

Results
Density of states at the Fermi level, states/eV/atom: 0.398
Formation energy without anion corrections, meV per atom: 220.8

Unit cell a=8.403 b=5.289 c=3.635 alpha=90.00 beta=90.00 gamma=90.00
Space group Pmma (No. 51)
Unique sites:
Na  0.250  0.000  0.002 [2 per cell]
In  0.000  0.500  0.000 [2 per cell]
Si  0.250  0.500  0.500 [2 per cell]


[5]
Density functional theory data (PBE) for Na2In4Si after structural relaxation.

Results
Density of states at the Fermi level, states/eV/atom: 0.446
Formation energy without anion corrections, meV per atom: 191.8

Unit cell a=5.333 b=5.333 c=15.980 alpha=90.00 beta=90.00 gamma=90.00
Space group I4/mmm (No. 139)
Unique sites:
Na  0.000  0.000  0.135 [4 per cell]
In  0.000  0.000  0.332 [4 per cell]
In  0.000  0.500  0.000 [4 per cell]
Si  0.000  0.000  0.500 [2 per cell]


[6]
Density functional theory data (PBE) for NaInSi after structural relaxation.

Results
Density of states at the Fermi level, states/eV/atom: 0.329
Formation energy without anion corrections, meV per atom: 33.0

Unit cell a=3.691 b=6.247 c=7.233 alpha=74.53 beta=89.94 gamma=72.83
Space group P1 (No. 1)
Unique sites:
Na  0.000  0.000  0.000 [1 per cell]
Na  0.219  0.558  0.771 [1 per cell]
In  0.339  0.324  0.243 [1 per cell]
In  0.628  0.741  0.364 [1 per cell]
Si  0.494  0.012  0.635 [1 per cell]
Si  0.866  0.267  0.576 [1 per cell]